The following is a DFT calculation (PBE) of a relaxed structure of CaEr2Tc.

The structure in POSCAR format:
```
CaEr2Tc
1.0
-1.033 2.153 2.534
-3.320 -0.514 -0.916
-0.504 -7.047 5.783
Ca Tc Er
1 1 2
direct
0.500 0.500 0.500 Ca
0.500 0.500 0.000 Tc
0.000 0.000 0.826 Er
0.000 0.000 0.174 Er
```

Values from the calculation:
As for the calculated total energy: -5.399 eV per atom.

***

The following is a DFT calculation (PBE) of a relaxed structure of Pa3Al2Re4.

The structure in POSCAR format:
```
Pa3Al2Re4
1.0
4.506 0.000 0.000
-2.253 4.744 0.092
0.000 -0.317 8.536
Pa Al Re
3 2 4
direct
0.382 0.764 0.598 Pa
0.000 0.000 0.000 Pa
0.618 0.236 0.402 Pa
0.317 0.633 0.231 Al
0.683 0.367 0.769 Al
0.743 0.486 0.080 Re
0.095 0.189 0.642 Re
0.905 0.811 0.358 Re
0.257 0.514 0.920 Re
```

Values from the calculation:
As for the calculated total energy: -9.641 eV per atom.

***

The following is a DFT calculation (PBE) of a relaxed structure of TbY2SbC.

The structure in POSCAR format:
```
TbY2SbC
1.0
-1.423 1.571 4.430
1.899 -4.008 2.031
4.265 2.302 0.553
Tb Y Sb C
1 2 1 1
direct
0.500 0.000 0.000 Tb
0.000 0.000 0.500 Y
0.000 0.500 0.000 Y
0.500 0.500 0.500 Sb
0.000 0.000 0.000 C
```

Values from the calculation:
As for the uncorrected formation energy: -636 meV/atom.